(1)
{"formula": "MgAl", "functional": "PBE-GGA", "state": "relaxed", "lattice": [[-3.117, -6.483, -3.373], [2.621, -4.415, 6.063], [-6.822, 1.266, 3.871]], "species": ["Mg", "Mg", "Mg", "Mg", "Mg", "Mg", "Al", "Al", "Al", "Al", "Al", "Al"], "frac_coords": [[0.250, 0.000, 0.500], [0.750, 0.000, 0.500], [0.000, 0.500, 0.250], [0.000, 0.500, 0.750], [0.500, 0.250, 0.000], [0.500, 0.750, 0.000], [0.250, 0.500, 0.000], [0.750, 0.500, 0.000], [0.500, 0.000, 0.250], [0.500, 0.000, 0.750], [0.000, 0.250, 0.500], [0.000, 0.750, 0.500]], "delta_e_f_mev_per_atom": 933, "dft_energy_ev_per_atom": -1.736, "crystal_system": "cubic", "sg": "Pm-3n (223)"}


(2)
{"formula": "MgAl", "functional": "PBE-GGA", "state": "relaxed", "lattice": [[-2.573, -0.424, 1.448], [2.661, -2.055, 4.060], [-0.088, 3.717, 4.067]], "species": ["Mg", "Mg", "Al", "Al"], "frac_coords": [[0.113, 0.326, 0.773], [0.887, 0.674, 0.227], [0.356, 0.160, 0.286], [0.644, 0.840, 0.714]], "delta_e_f_mev_per_atom": 16, "dft_energy_ev_per_atom": -2.652, "crystal_system": "triclinic", "sg": "P-1 (2)"}


(3)
{"formula": "MgAl", "functional": "PBE-GGA", "state": "relaxed", "lattice": [[-4.709, -0.676, 2.284], [-4.280, -3.048, 0.490], [-2.980, -2.957, 3.197]], "species": ["Mg", "Al"], "frac_coords": [[0.500, 0.500, 0.500], [0.000, 0.000, 0.000]], "delta_e_f_mev_per_atom": 48, "dft_energy_ev_per_atom": -2.621, "crystal_system": "trigonal", "sg": "R-3m (166)"}


(4)
{"formula": "MgAl", "functional": "PBE-GGA", "state": "relaxed", "lattice": [[4.805, 0.000, 0.000], [0.000, 2.996, 0.000], [0.000, 0.000, 5.360]], "species": ["Mg", "Mg", "Al", "Al"], "frac_coords": [[0.250, 0.500, 0.668], [0.750, 0.500, 0.332], [0.250, 0.000, 0.156], [0.750, 0.000, 0.844]], "delta_e_f_mev_per_atom": 18, "dft_energy_ev_per_atom": -2.650, "crystal_system": "orthorhombic", "sg": "Pmma (51)"}